Below is a geometry-optimized AgTeAuN2 structure, with properties calculated at the PBE level.

ΔE_f (raw) ... 1.692 eV/atom
Density ... 7.16 g cm⁻³
Crystal system ... tetragonal

Lattice parameters (Å, degrees): 4.081 4.081 6.414 90.00 90.00 90.00
Space group P4/mmm (No. 123)
Unique sites:
Ag: 0.000 0.000 0.000
Te: 0.000 0.000 0.500
Au: 0.500 0.500 0.500
N: 0.000 0.500 0.000

Below is a geometry-optimized Na2AgAu structure, with properties calculated at the PBE level.

E_form ... -196 meV/atom
Density ... 6.32 g cm⁻³
Crystal system ... orthorhombic

Lattice parameters (Å, degrees): 8.804 7.539 5.558 90.00 90.00 90.00
Space group Cmcm (No. 63)
Unique sites:
Na: 0.183 0.157 0.250
Ag: 0.000 0.500 0.000
Au: 0.000 0.176 0.750

Below is a geometry-optimized NaAg4Au4 structure, with properties calculated at the PBE level.

E_form ... 30 meV/atom
Density ... 9.45 g cm⁻³
Crystal system ... tetragonal

Lattice parameters (Å, degrees): 9.416 9.416 4.923 90.00 90.00 90.00
Space group I4/m (No. 87)
Unique sites:
Na: 0.000 0.000 0.000
Ag: 0.100 0.601 0.500
Au: 0.193 0.697 0.000

Below is a geometry-optimized NaAg2Au structure, with properties calculated at the PBE level.

E_form ... 4 meV/atom
Density ... 9.09 g cm⁻³
Crystal system ... tetragonal

Lattice parameters (Å, degrees): 3.532 3.532 6.378 90.00 90.00 90.00
Space group P4/mmm (No. 123)
Unique sites:
Na: 0.000 0.000 0.000
Ag: 0.500 0.500 0.272
Au: 0.000 0.000 0.500

Below is a geometry-optimized Na3AgAu structure, with properties calculated at the PBE level.

E_form ... -109 meV/atom
Density ... 5.16 g cm⁻³
Crystal system ... monoclinic

Lattice parameters (Å, degrees): 5.831 5.532 7.652 90.00 102.94 90.00
Space group P2_1/m (No. 11)
Unique sites:
Na: 0.000 0.000 0.000
Na: 0.329 0.250 0.408
Na: 0.471 0.250 0.855
Ag: 0.044 0.750 0.367
Au: 0.226 0.750 0.739

Below is a geometry-optimized Na3AgAu structure, with properties calculated at the PBE level.

E_form ... 90 meV/atom
Density ... 3.69 g cm⁻³
Crystal system ... cubic

Lattice parameters (Å, degrees): 5.519 5.519 5.519 90.00 90.00 90.00
Space group Pm-3m (No. 221)
Unique sites:
Na: 0.000 0.000 0.500
Ag: 0.500 0.500 0.500
Au: 0.000 0.000 0.000

Below is a geometry-optimized NaAg5Au2 structure, with properties calculated at the PBE level.

E_form ... 20 meV/atom
Density ... 9.49 g cm⁻³
Crystal system ... orthorhombic

Lattice parameters (Å, degrees): 4.166 8.284 9.701 90.00 90.00 90.00
Space group Immm (No. 71)
Unique sites:
Na: 0.000 0.000 0.000
Ag: 0.000 0.177 0.349
Ag: 0.000 0.500 0.000
Au: 0.000 0.500 0.288

Below is a geometry-optimized NaAg4Au structure, with properties calculated at the PBE level.

E_form ... -21 meV/atom
Density ... 9.04 g cm⁻³
Crystal system ... cubic

Lattice parameters (Å, degrees): 7.822 7.822 7.822 90.00 90.00 90.00
Space group F-43m (No. 216)
Unique sites:
Na: 0.000 0.000 0.000
Ag: 0.125 0.125 0.375
Au: 0.250 0.250 0.750

Below is a geometry-optimized NaAg2Au structure, with properties calculated at the PBE level.

E_form ... -80 meV/atom
Density ... 9.62 g cm⁻³
Crystal system ... tetragonal

Lattice parameters (Å, degrees): 4.231 4.231 4.202 90.00 90.00 90.00
Space group P4/mmm (No. 123)
Unique sites:
Na: 0.000 0.000 0.000
Ag: 0.000 0.500 0.500
Au: 0.500 0.500 0.000

Below is a geometry-optimized NaAg6Au6 structure, with properties calculated at the PBE level.

E_form ... -71 meV/atom
Density ... 11.99 g cm⁻³
Crystal system ... orthorhombic

Lattice parameters (Å, degrees): 5.501 9.623 9.690 90.00 90.00 90.00
Space group Immm (No. 71)
Unique sites:
Na: 0.000 0.000 0.000
Ag: 0.000 0.000 0.354
Ag: 0.000 0.289 0.500
Ag: 0.000 0.352 0.000
Au: 0.000 0.500 0.280
Au: 0.250 0.250 0.250

Below is a geometry-optimized Na12Ag2Au structure, with properties calculated at the PBE level.

E_form ... 71 meV/atom
Density ... 2.12 g cm⁻³
Crystal system ... tetragonal

Lattice parameters (Å, degrees): 6.580 6.580 24.953 90.00 90.00 90.00
Space group P4/nbm (No. 125, origin choice 2)
Unique sites:
Na: 0.000 0.000 0.074
Na: 0.068 0.568 0.434
Na: 0.250 0.250 0.185
Na: 0.250 0.250 0.321
Ag: 0.250 0.750 0.160
Au: 0.250 0.750 0.000

Below is a geometry-optimized Na7Ag2Au2 structure, with properties calculated at the PBE level.

E_form ... -52 meV/atom
Density ... 4.14 g cm⁻³
Crystal system ... orthorhombic

Lattice parameters (Å, degrees): 7.198 10.946 7.838 90.00 90.00 90.00
Space group Cmmm (No. 65)
Unique sites:
Na: 0.000 0.000 0.000
Na: 0.000 0.500 0.230
Na: 0.250 0.250 0.297
Ag: 0.189 0.000 0.500
Au: 0.000 0.280 0.000

Below is a geometry-optimized Na3Ag8Au structure, with properties calculated at the PBE level.

E_form ... -48 meV/atom
Density ... 7.55 g cm⁻³
Crystal system ... trigonal

Lattice parameters (Å, degrees): 5.5813 5.5813 27.6025 90.00 90.00 120.00
Space group R3m (No. 160, hexagonal axes)
Unique sites:
Na: 0.0000 0.0000 0.0000
Na: 0.0000 0.0000 0.1280
Na: 0.0000 0.0000 0.5086
Ag: 0.0000 0.0000 0.3158
Ag: 0.0000 0.0000 0.8158
Ag: 0.0005 0.5002 0.5668
Ag: 0.1673 0.3346 0.3982
Au: 0.0000 0.0000 0.6311

Below is a geometry-optimized NaAg3Au8 structure, with properties calculated at the PBE level.

E_form ... -68 meV/atom
Density ... 13.39 g cm⁻³
Crystal system ... trigonal

Lattice parameters (Å, degrees): 5.5061 5.5061 27.2469 90.00 90.00 120.00
Space group R3m (No. 160, hexagonal axes)
Unique sites:
Na: 0.0000 0.0000 0.0000
Ag: 0.0000 0.0000 0.1271
Ag: 0.0000 0.0000 0.4984
Ag: 0.0000 0.0000 0.6161
Au: 0.0000 0.0000 0.3125
Au: 0.0000 0.0000 0.8122
Au: 0.0005 0.5003 0.0630
Au: 0.1671 0.3341 0.8952

Below is a geometry-optimized Na12Ag6Au structure, with properties calculated at the PBE level.

E_form ... -36 meV/atom
Density ... 3.85 g cm⁻³
Crystal system ... trigonal

Lattice parameters (Å, degrees): 10.9307 10.9307 13.9991 90.00 90.00 120.00
Space group R-3 (No. 148, hexagonal axes)
Unique sites:
Na: 0.0350 0.8438 0.3199
Na: 0.0581 0.2207 0.9110
Ag: 0.0422 0.5946 0.1992
Au: 0.0000 0.0000 0.5000

Below is a geometry-optimized Na2AgAu structure, with properties calculated at the PBE level.

E_form ... 33 meV/atom
Density ... 5.34 g cm⁻³
Crystal system ... trigonal

Lattice parameters (Å, degrees): 4.1312 4.1312 22.1334 90.00 90.00 120.00
Space group R3m (No. 160, hexagonal axes)
Unique sites:
Na: 0.0000 0.0000 0.0000
Na: 0.0000 0.0000 0.1753
Ag: 0.0000 0.0000 0.7517
Au: 0.0000 0.0000 0.5901

Below is a geometry-optimized Na2AgAu structure, with properties calculated at the PBE level.

E_form ... -130 meV/atom
Density ... 6.90 g cm⁻³
Crystal system ... tetragonal

Lattice parameters (Å, degrees): 4.351 4.351 4.458 90.00 90.00 90.00
Space group P4/mmm (No. 123)
Unique sites:
Na: 0.000 0.500 0.000
Ag: 0.000 0.000 0.500
Au: 0.500 0.500 0.500

Below is a geometry-optimized NaAg4Au structure, with properties calculated at the PBE level.

E_form ... 36 meV/atom
Density ... 8.73 g cm⁻³
Crystal system ... orthorhombic

Lattice parameters (Å, degrees): 8.259 4.238 7.077 90.00 90.00 90.00
Space group Pmma (No. 51)
Unique sites:
Na: 0.250 0.000 0.151
Ag: 0.000 0.000 0.500
Ag: 0.027 0.500 0.799
Ag: 0.250 0.500 0.468
Au: 0.250 0.000 0.757

Below is a geometry-optimized Na2Ag2Au15 structure, with properties calculated at the PBE level.

E_form ... -105 meV/atom
Density ... 13.95 g cm⁻³
Crystal system ... trigonal

Lattice parameters (Å, degrees): 9.7321 9.7321 14.0049 90.00 90.00 120.00
Space group R-3m (No. 166, hexagonal axes)
Unique sites:
Na: 0.0000 0.0000 0.1522
Ag: 0.0000 0.0000 0.4002
Au: 0.0000 0.3138 0.5000
Au: 0.0000 0.5000 0.0000
Au: 0.0022 0.5011 0.6571

Below is a geometry-optimized Na2Ag5Au5 structure, with properties calculated at the PBE level.

E_form ... -137 meV/atom
Density ... 10.26 g cm⁻³
Crystal system ... orthorhombic

Lattice parameters (Å, degrees): 4.704 5.570 9.696 90.00 90.00 90.00
Space group Pmmm (No. 47)
Unique sites:
Na: 0.000 0.000 0.000
Na: 0.000 0.500 0.500
Ag: 0.000 0.000 0.333
Ag: 0.000 0.500 0.167
Ag: 0.500 0.000 0.500
Au: 0.500 0.250 0.250
Au: 0.500 0.500 0.000